1.
PrZnCo | GGA-PBE | optimized geometry

Cell lengths 4.6764, 4.6764, 4.6764 Å; angles 60.00, 60.00, 60.00 degrees
Last column: nearest neighbours and their distance in Å.
Fractional coordinates of all 3 atoms:
Pr 0.0000 0.0000 0.0000  4 Co 2.86, 4 Zn 2.86
Zn 0.7500 0.7500 0.7500  4 Pr 2.86
Co 0.2500 0.2500 0.2500  4 Pr 2.86

---

2.
CoPt3 | GGA-PBE | optimized geometry

Cell lengths 3.9673, 3.9673, 3.6858 Å; angles 90.00, 90.00, 90.00 degrees
Last column: nearest neighbours and their distance in Å.
Fractional coordinates of all 4 atoms:
Co 0.0000 0.0000 0.0000  12 Pt 2.71-2.81
Pt 0.0000 0.5000 0.5000  4 Co 2.71, 8 Pt 2.71-2.81
Pt 0.5000 0.0000 0.5000  4 Co 2.71, 8 Pt 2.71-2.81
Pt 0.5000 0.5000 0.0000  8 Pt 2.71, 4 Co 2.81

---

3.
Co2Pt3 | GGA-PBE | optimized geometry

Cell lengths 5.5193, 5.5193, 5.5193 Å; angles 69.08, 69.08, 69.08 degrees
Last column: nearest neighbours and their distance in Å.
Fractional coordinates of all 10 atoms:
Co 0.0872 0.0872 0.0872  1 Co 2.18, 3 Pt 2.38
Co 0.4128 0.4128 0.4128  1 Co 2.18, 3 Pt 2.38
Co 0.5872 0.5872 0.5872  1 Co 2.18, 3 Pt 2.38
Co 0.9128 0.9128 0.9128  1 Co 2.18, 3 Pt 2.38
Pt 0.0018 0.7500 0.4982  4 Co 2.38-2.58
Pt 0.2500 0.5018 0.9982  4 Co 2.38-2.58
Pt 0.4982 0.0018 0.7500  4 Co 2.38-2.58
Pt 0.5018 0.9982 0.2500  4 Co 2.38-2.58
Pt 0.7500 0.4982 0.0018  4 Co 2.38-2.58
Pt 0.9982 0.2500 0.5018  4 Co 2.38-2.58

---

4.
CoPt | GGA-PBE | optimized geometry

Cell lengths 4.1483, 4.1483, 4.9136 Å; angles 90.00, 90.00, 120.00 degrees
Last column: nearest neighbours and their distance in Å.
Fractional coordinates of all 4 atoms:
Co 0.3333 0.6667 0.2500  5 Pt 2.40-2.46
Co 0.6667 0.3333 0.7500  5 Pt 2.40-2.46
Pt 0.3333 0.6667 0.7500  5 Co 2.40-2.46
Pt 0.6667 0.3333 0.2500  5 Co 2.40-2.46

---

5.
CoPt3 | GGA-PBE | optimized geometry

Cell lengths 5.4934, 5.4934, 4.5078 Å; angles 90.00, 90.00, 120.00 degrees
Last column: nearest neighbours and their distance in Å.
Fractional coordinates of all 8 atoms:
Co 0.3333 0.6667 0.2500  12 Pt 2.74-2.75
Co 0.6667 0.3333 0.7500  12 Pt 2.74-2.75
Pt 0.1688 0.3375 0.7500  8 Pt 2.71-2.78, 4 Co 2.74-2.75
Pt 0.1688 0.8312 0.7500  8 Pt 2.71-2.78, 4 Co 2.74-2.75
Pt 0.3375 0.1688 0.2500  8 Pt 2.71-2.78, 4 Co 2.74-2.75
Pt 0.6625 0.8312 0.7500  8 Pt 2.71-2.78, 4 Co 2.74-2.75
Pt 0.8312 0.1688 0.2500  8 Pt 2.71-2.78, 4 Co 2.74-2.75
Pt 0.8312 0.6625 0.2500  8 Pt 2.71-2.78, 4 Co 2.74-2.75

---

6.
CoPt3 | GGA-PBE | optimized geometry

Cell lengths 3.8856, 3.8856, 3.8856 Å; angles 90.00, 90.00, 90.00 degrees
Last column: nearest neighbours and their distance in Å.
Fractional coordinates of all 4 atoms:
Co 0.0000 0.0000 0.0000  12 Pt 2.75
Pt 0.0000 0.5000 0.5000  4 Co 2.75, 8 Pt 2.75
Pt 0.5000 0.0000 0.5000  4 Co 2.75, 8 Pt 2.75
Pt 0.5000 0.5000 0.0000  4 Co 2.75, 8 Pt 2.75

---

7.
CoPt | GGA-PBE | optimized geometry

Cell lengths 2.6929, 2.6929, 3.7081 Å; angles 90.00, 90.00, 90.00 degrees
Last column: nearest neighbours and their distance in Å.
Fractional coordinates of all 2 atoms:
Co 0.0000 0.0000 0.0000  8 Pt 2.66, 4 Co 2.69
Pt 0.5000 0.5000 0.5000  8 Co 2.66, 4 Pt 2.69

---

8.
CoPt | GGA-PBE | optimized geometry

Cell lengths 4.5511, 4.5511, 4.5511 Å; angles 34.55, 34.55, 34.55 degrees
Last column: nearest neighbours and their distance in Å.
Fractional coordinates of all 2 atoms:
Co 0.0000 0.0000 0.0000  6 Pt 2.65, 6 Co 2.70
Pt 0.5000 0.5000 0.5000  6 Co 2.65, 6 Pt 2.70

---

Number 1: calculated total energy -3.72 eV/atom. Number 2: calculated total energy -6.36 eV/atom. Number 3: calculated total energy -6.16 eV/atom. Number 4: calculated total energy -5.82 eV/atom. Number 5: calculated total energy -6.34 eV/atom. Number 6: calculated total energy -6.38 eV/atom. Number 7: calculated total energy -6.67 eV/atom. Number 8: calculated total energy -6.61 eV/atom.